(1)
Computed, not measured: a relaxed structure of ScSb2P at the GGA-PBE level of DFT.

The structure belongs to space group C2/m (No. 12); the cell edges are 11.506, 4.025 and 4.183 Å and the angles 90.00°, 94.43° and 90.00°. The distinct sites, in fractional coordinates, are Sc at (0.000, 0.000, 0.000), Sb at (0.229, 0.500, 0.758) and P at (0.000, 0.500, 0.500).

For the electronic total energy, the calculation gives -21.18 eV/f.u. Its density of states at the Fermi level is 1.5 states/eV per cell. Its total moment is 0.0 μB per cell. For the formation energy from raw total energies, the calculation gives -299 meV per atom.

---

(2)
Computed, not measured: a relaxed structure of CsCaSb2N at the GGA-PBE level of DFT.

The structure belongs to space group P4/mmm (No. 123); the cell edges are 6.266, 6.266 and 4.291 Å and the angles 90.00°, 90.00° and 90.00°. The distinct sites, in fractional coordinates, are Cs at (0.000, 0.000, 0.000), Ca at (0.500, 0.500, 0.500), Sb at (0.000, 0.500, 0.000) and N at (0.000, 0.000, 0.500).

For the electronic total energy, the calculation gives -12.82 eV/f.u. Its density of states at the Fermi level is 4.4 states/eV per cell. Its total moment is 0.0 μB per cell. For the formation energy from raw total energies, the calculation gives 1320 meV per atom.

---

What did the first record say?
Computed, not measured: a relaxed structure of ScSb2P at the GGA-PBE level of DFT.

The structure belongs to space group C2/m (No. 12); the cell edges are 11.506, 4.025 and 4.183 Å and the angles 90.00°, 94.43° and 90.00°. The distinct sites, in fractional coordinates, are Sc at (0.000, 0.000, 0.000), Sb at (0.229, 0.500, 0.758) and P at (0.000, 0.500, 0.500).

For the electronic total energy, the calculation gives -21.18 eV/f.u. Its density of states at the Fermi level is 1.5 states/eV per cell. Its total moment is 0.0 μB per cell. For the formation energy from raw total energies, the calculation gives -299 meV per atom.

---

Among the records above, which one has the lowest formation energy from raw total energies?
ScSb2P

---

What is the formation energy from raw total energies in the second record?
1320 meV per atom

---

Number 1 is which compound?
ScSb2P